An optimized crystal structure of CaEr2Ge4O12. Source: the Alexandria database, functional PBE-GGA.

Lattice parameters (Å, degrees): 10.0791 10.0791 5.0905 90.00 90.00 90.08
Last column: nearest neighbours and their distance in Å.
Fractional positions:
Ca 0.0000 0.0000 0.0000  4 O 2.29
Ca 0.5000 0.5000 0.0000  4 O 2.29
Er 0.0000 0.5000 0.0000  6 O 2.20-2.42
Er 0.2500 0.2500 0.0000  8 O 2.32-2.42
Er 0.5000 0.0000 0.0000  6 O 2.20-2.42
Er 0.7500 0.7500 0.0000  8 O 2.32-2.42
Ge 0.0200 0.7496 0.5049  4 O 1.73-1.85
Ge 0.2496 0.5200 0.5049  4 O 1.73-1.85
Ge 0.2504 0.9800 0.5049  4 O 1.73-1.85
Ge 0.4800 0.7504 0.5049  4 O 1.73-1.85
Ge 0.5200 0.2496 0.4951  4 O 1.73-1.85
Ge 0.7496 0.0200 0.4951  4 O 1.73-1.85
Ge 0.7504 0.4800 0.4951  4 O 1.73-1.85
Ge 0.9800 0.2504 0.4951  4 O 1.73-1.85
O 0.0578 0.3282 0.7608  1 Ge 1.75
O 0.0705 0.1772 0.2455  1 Ge 1.73
O 0.1225 0.6225 0.6701  2 Ge 1.85
O 0.1304 0.8696 0.3527  2 Ge 1.82
O 0.1718 0.4422 0.2392  1 Ge 1.75
O 0.1772 0.0705 0.7545  1 Ge 1.73
O 0.3228 0.4295 0.7545  1 Ge 1.73
O 0.3282 0.0578 0.2392  1 Ge 1.75
O 0.3696 0.6304 0.3527  2 Ge 1.82
O 0.3775 0.8775 0.6701  2 Ge 1.85
O 0.4295 0.3228 0.2455  1 Ge 1.73
O 0.4422 0.1718 0.7608  1 Ge 1.75
O 0.5578 0.8282 0.2392  1 Ge 1.75
O 0.5705 0.6772 0.7545  1 Ge 1.73
O 0.6225 0.1225 0.3299  2 Ge 1.85
O 0.6304 0.3696 0.6473  2 Ge 1.82
O 0.6718 0.9422 0.7608  1 Ge 1.75
O 0.6772 0.5705 0.2455  1 Ge 1.73
O 0.8228 0.9295 0.2455  1 Ge 1.73
O 0.8282 0.5578 0.7608  1 Ge 1.75
O 0.8696 0.1304 0.6473  2 Ge 1.82
O 0.8775 0.3775 0.3299  2 Ge 1.85
O 0.9295 0.8228 0.7545  1 Ge 1.73
O 0.9422 0.6718 0.2392  1 Ge 1.75

Results
Crystal system: orthorhombic
V, Å³/f.u.: 259
Raw formation energy, eV per atom: -2.3995

---

An optimized crystal structure of Mg2Cd2Br. Source: the Alexandria database, functional PBE-GGA.

Lattice parameters (Å, degrees): 8.3624 8.3624 3.5629 90.00 90.00 90.00
Last column: nearest neighbours and their distance in Å.
Fractional positions:
Mg 0.1834 0.3166 0.0000  6 Cd 2.92-3.15, 2 Br 3.06
Mg 0.3166 0.8166 0.0000  6 Cd 2.92-3.15, 2 Br 3.06
Mg 0.6834 0.1834 0.0000  6 Cd 2.92-3.15, 2 Br 3.06
Mg 0.8166 0.6834 0.0000  6 Cd 2.92-3.15, 2 Br 3.06
Cd 0.1208 0.6208 0.5000  1 Cd 2.86, 6 Mg 2.92-3.15
Cd 0.3792 0.1208 0.5000  1 Cd 2.86, 6 Mg 2.92-3.15
Cd 0.6208 0.8792 0.5000  1 Cd 2.86, 6 Mg 2.92-3.15
Cd 0.8792 0.3792 0.5000  1 Cd 2.86, 6 Mg 2.92-3.15
Br 0.0000 0.0000 0.0000  4 Mg 3.06
Br 0.5000 0.5000 0.0000  4 Mg 3.06

Results
Crystal system: tetragonal
V, Å³/f.u.: 125
Raw formation energy, eV per atom: -0.2116

---

An optimized crystal structure of Cu2SnPd5Au2. Source: the Alexandria database, functional PBE-GGA.

Lattice parameters (Å, degrees): 9.0934 9.0934 3.9553 90.00 90.00 90.00
Last column: nearest neighbours and their distance in Å.
Fractional positions:
Cu 0.1253 0.3747 0.0000  6 Pd 2.55-2.58, 3 Au 2.66-2.70
Cu 0.3747 0.8747 0.0000  6 Pd 2.55-2.58, 3 Au 2.66-2.70
Cu 0.6253 0.1253 0.0000  6 Pd 2.55-2.58, 3 Au 2.66-2.70
Cu 0.8747 0.6253 0.0000  6 Pd 2.55-2.58, 3 Au 2.66-2.70
Sn 0.0000 0.0000 0.0000  8 Pd 2.77
Sn 0.5000 0.5000 0.0000  8 Pd 2.77
Pd 0.0000 0.5000 0.5000  4 Cu 2.55
Pd 0.0833 0.1970 0.5000  2 Cu 2.58, 4 Pd 2.75-2.86, 2 Sn 2.77
Pd 0.1970 0.9167 0.5000  2 Cu 2.58, 4 Pd 2.75-2.86, 2 Sn 2.77
Pd 0.3030 0.4167 0.5000  2 Cu 2.58, 4 Pd 2.75-2.86, 2 Sn 2.77
Pd 0.4167 0.6970 0.5000  2 Cu 2.58, 4 Pd 2.75-2.86, 2 Sn 2.77
Pd 0.5000 0.0000 0.5000  4 Cu 2.55
Pd 0.5833 0.3030 0.5000  2 Cu 2.58, 4 Pd 2.75-2.86, 2 Sn 2.77
Pd 0.6970 0.5833 0.5000  2 Cu 2.58, 4 Pd 2.75-2.86, 2 Sn 2.77
Pd 0.8030 0.0833 0.5000  2 Cu 2.58, 4 Pd 2.75-2.86, 2 Sn 2.77
Pd 0.9167 0.8030 0.5000  2 Cu 2.58, 4 Pd 2.75-2.86, 2 Sn 2.77
Au 0.1681 0.6681 0.0000  3 Cu 2.66-2.70, 2 Pd 2.93
Au 0.3319 0.1681 0.0000  3 Cu 2.66-2.70, 2 Pd 2.93
Au 0.6681 0.8319 0.0000  3 Cu 2.66-2.70, 2 Pd 2.93
Au 0.8319 0.3319 0.0000  3 Cu 2.66-2.70, 2 Pd 2.93

Results
ΔH_f (0 K), eV per formula unit: -1.44
Crystal system: tetragonal
V, Å³/f.u.: 164

---

An optimized crystal structure of CrAsPt3. Source: the Alexandria database, functional PBE-GGA.

Lattice parameters (Å, degrees): 4.5979 4.5979 4.5979 90.00 90.00 90.00
Last column: nearest neighbours and their distance in Å.
Fractional positions:
Cr 0.0000 0.0000 0.0000  6 Pt 2.30
As 0.5000 0.5000 0.5000  12 Pt 3.25
Pt 0.0000 0.0000 0.5000  2 Cr 2.30
Pt 0.0000 0.5000 0.0000  2 Cr 2.30
Pt 0.5000 0.0000 0.0000  2 Cr 2.30

Results
ΔH_f (0 K), eV per formula unit: 4.86
Crystal system: cubic
V, Å³/f.u.: 97

---

An optimized crystal structure of Nd2DyHo4. Source: the Alexandria database, functional PBE-GGA.

Lattice parameters (Å, degrees): 8.6197 8.6197 8.7789 119.35 119.35 23.72
Last column: nearest neighbours and their distance in Å.
Fractional positions:
Nd 0.0699 0.0699 0.4306  1 Nd 3.15, 1 Ho 3.34, 1 Dy 3.35
Nd 0.9301 0.9301 0.5694  1 Nd 3.15, 1 Ho 3.34, 1 Dy 3.35
Dy 0.0000 0.0000 0.0000  2 Nd 3.35, 2 Dy 3.54, 4 Ho 3.57
Ho 0.2954 0.2954 0.7082  3 Nd 3.34-3.54, 5 Ho 3.52-3.64, 2 Dy 3.57
Ho 0.3539 0.3539 0.1535  7 Ho 3.52-3.74, 4 Nd 3.66-3.67, 2 Dy 3.79
Ho 0.6461 0.6461 0.8465  7 Ho 3.52-3.74, 4 Nd 3.66-3.67, 2 Dy 3.79
Ho 0.7046 0.7046 0.2918  3 Nd 3.34-3.54, 5 Ho 3.52-3.64, 2 Dy 3.57

Results
ΔH_f (0 K), eV per formula unit: 0.38
Crystal system: monoclinic
V, Å³/f.u.: 227

---

An optimized crystal structure of BaCaSc2. Source: the Alexandria database, functional PBE-GGA.

Lattice parameters (Å, degrees): 5.0421 5.0421 5.4995 90.00 90.00 90.00
Last column: nearest neighbours and their distance in Å.
Fractional positions:
Ba 0.0000 0.0000 0.0000  4 Ca 3.57, 8 Sc 3.73
Ca 0.5000 0.5000 0.0000  4 Ba 3.57, 8 Sc 3.73
Sc 0.0000 0.5000 0.5000  4 Sc 3.57, 4 Ba 3.73, 4 Ca 3.73
Sc 0.5000 0.0000 0.5000  4 Sc 3.57, 4 Ba 3.73, 4 Ca 3.73

Results
ΔH_f (0 K), eV per formula unit: 1.58
Crystal system: tetragonal
V, Å³/f.u.: 140

---

An optimized crystal structure of Mn2Cu3Pd6. Source: the Alexandria database, functional PBE-GGA.

Lattice parameters (Å, degrees): 12.3857 12.3857 12.3857 162.11 162.11 25.40
Last column: nearest neighbours and their distance in Å.
Fractional positions:
Mn 0.1495 0.1495 0.0000  5 Pd 2.56-2.71, 4 Cu 2.73
Mn 0.8505 0.8505 0.0000  5 Pd 2.56-2.71, 4 Cu 2.73
Cu 0.3573 0.3573 0.0000  5 Pd 2.46-2.60, 4 Mn 2.73
Cu 0.5000 0.5000 0.0000  8 Pd 2.57
Cu 0.6427 0.6427 0.0000  5 Pd 2.46-2.60, 4 Mn 2.73
Pd 0.0706 0.5706 0.5000  4 Cu 2.57-2.60, 2 Mn 2.71, 4 Pd 2.72
Pd 0.2555 0.2555 0.0000  1 Cu 2.46, 1 Mn 2.56, 4 Pd 2.74
Pd 0.4294 0.9294 0.5000  4 Cu 2.57-2.60, 2 Mn 2.71, 4 Pd 2.72
Pd 0.5706 0.0706 0.5000  4 Cu 2.57-2.60, 2 Mn 2.71, 4 Pd 2.72
Pd 0.7445 0.7445 0.0000  1 Cu 2.46, 1 Mn 2.56, 4 Pd 2.74
Pd 0.9294 0.4294 0.5000  4 Cu 2.57-2.60, 2 Mn 2.71, 4 Pd 2.72

Results
ΔH_f (0 K), eV per formula unit: 1.71
Crystal system: tetragonal
V, Å³/f.u.: 179

---

An optimized crystal structure of PaAl2Ni6. Source: the Alexandria database, functional PBE-GGA.

Lattice parameters (Å, degrees): 7.2419 7.2419 7.2419 155.57 126.97 59.21
Last column: nearest neighbours and their distance in Å.
Fractional positions:
Pa 0.0000 0.0000 0.0000  4 Ni 2.59
Al 0.3581 0.8581 0.5000  10 Ni 2.55-2.62
Al 0.6419 0.1419 0.5000  10 Ni 2.55-2.62
Ni 0.0107 0.3192 0.6915  4 Ni 2.43-2.48, 3 Al 2.55-2.56
Ni 0.3230 0.5000 0.8230  3 Ni 2.29-2.43
Ni 0.3723 0.6808 0.6915  4 Ni 2.43-2.48, 3 Al 2.55-2.56
Ni 0.6277 0.3192 0.3085  4 Ni 2.43-2.48, 3 Al 2.55-2.56
Ni 0.6770 0.5000 0.1770  3 Ni 2.29-2.43
Ni 0.9893 0.6808 0.3085  4 Ni 2.43-2.48, 3 Al 2.55-2.56

Results
ΔH_f (0 K), eV per formula unit: -2.29
Crystal system: orthorhombic
V, Å³/f.u.: 125

---

An optimized crystal structure of La3PrNd3. Source: the Alexandria database, functional PBE-GGA.

Lattice parameters (Å, degrees): 9.9407 9.9407 6.0052 90.00 90.00 120.00
Last column: nearest neighbours and their distance in Å.
Fractional positions:
La 0.0961 0.6225 0.2500  5 Nd 3.70-3.81, 3 Pr 3.71-3.77, 4 La 3.73-3.76
La 0.3775 0.4736 0.2500  5 Nd 3.70-3.81, 3 Pr 3.71-3.77, 4 La 3.73-3.76
La 0.4736 0.0961 0.7500  5 Nd 3.70-3.81, 3 Pr 3.71-3.77, 4 La 3.73-3.76
La 0.5264 0.9039 0.2500  5 Nd 3.70-3.81, 3 Pr 3.71-3.77, 4 La 3.73-3.76
La 0.6225 0.5264 0.7500  5 Nd 3.70-3.81, 3 Pr 3.71-3.77, 4 La 3.73-3.76
La 0.9039 0.3775 0.7500  5 Nd 3.70-3.81, 3 Pr 3.71-3.77, 4 La 3.73-3.76
Pr 0.3333 0.6667 0.7500  9 La 3.71-3.77, 3 Nd 3.78
Pr 0.6667 0.3333 0.2500  9 La 3.71-3.77, 3 Nd 3.78
Nd 0.0474 0.8119 0.7500  6 Nd 3.69-3.72, 5 La 3.70-3.81, 1 Pr 3.78
Nd 0.1881 0.2356 0.7500  6 Nd 3.69-3.72, 5 La 3.70-3.81, 1 Pr 3.78
Nd 0.2356 0.0474 0.2500  6 Nd 3.69-3.72, 5 La 3.70-3.81, 1 Pr 3.78
Nd 0.7644 0.9526 0.7500  6 Nd 3.69-3.72, 5 La 3.70-3.81, 1 Pr 3.78
Nd 0.8119 0.7644 0.2500  6 Nd 3.69-3.72, 5 La 3.70-3.81, 1 Pr 3.78
Nd 0.9526 0.1881 0.2500  6 Nd 3.69-3.72, 5 La 3.70-3.81, 1 Pr 3.78

Results
ΔH_f (0 K), eV per formula unit: 0.24
Crystal system: hexagonal
V, Å³/f.u.: 257